[1]
! MgTlPd2 | the Alexandria database | GGA-PBE | optimized geometry; values from VASP
&SYSTEM
  ibrav = 0, nat = 8, ntyp = 3
/
ATOMIC_SPECIES
Pd 106.42 Pd.upf
Tl 204.38 Tl.upf
Mg 24.30 Mg.upf
CELL_PARAMETERS angstrom
-3.3234 -1.1047 -2.2515
1.8581 -3.5950 -0.9788
-4.4565 -6.2986 5.8189
ATOMIC_POSITIONS angstrom
Pd -4.6555 -8.7762 1.5540
Tl -4.2563 -4.8766 0.9761
Tl 0.0000 0.0000 0.0000
Pd -3.8608 -6.5464 3.1365
Mg -0.7327 -2.3499 -1.6152
Pd -0.4237 -3.9781 0.5239
Pd -2.9035 -2.6960 -0.0372
Mg -1.6655 -6.1218 1.6124
! - Size of the total moment: 0.0 μB/cell
! - Electronic total energy: -29.45 eV per cell
! - Calculated volume: 19.95 Å³/atom
! - Symmetry: No. 122



[2]
! Mg4TlPd2 | the Alexandria database | GGA-PBE | optimized geometry; values from VASP
&SYSTEM
  ibrav = 0, nat = 14, ntyp = 3
/
ATOMIC_SPECIES
Mg 24.30 Mg.upf
Pd 106.42 Pd.upf
Tl 204.38 Tl.upf
CELL_PARAMETERS angstrom
5.9922 -0.7653 -0.0978
-1.2959 7.4479 0.0383
-2.3052 -3.4671 6.3403
ATOMIC_POSITIONS angstrom
Mg -0.2873 2.3181 6.2493
Pd 0.8333 0.4062 4.6272
Mg 4.2870 3.4503 0.7670
Pd 2.3445 4.6211 2.4262
Tl -0.2046 3.1413 3.3513
Mg 1.8912 -0.8133 2.4951
Mg -0.4751 -1.8905 4.3600
Mg 2.6973 2.0038 3.1895
Mg 1.2271 2.9538 0.6083
Pd -2.1840 0.7559 4.8561
Mg 2.5151 -2.2979 5.0632
Mg -1.0524 0.4252 2.3620
Pd 2.9931 0.9312 0.6601
Tl -3.1710 3.4817 6.1840
! - Size of the total moment: 0.0 μB/cell
! - Relative energy among the computed polymorphs: 0 meV/atom
! - Electronic total energy: -43.83 eV per cell
! - Calculated volume: 19.67 Å³/atom
! - Symmetry: No. 1



[3]
! Mg8TlPd2 | the Alexandria database | GGA-PBE | optimized geometry; values from VASP
&SYSTEM
  ibrav = 0, nat = 11, ntyp = 3
/
ATOMIC_SPECIES
Mg 24.30 Mg.upf
Pd 106.42 Pd.upf
Tl 204.38 Tl.upf
CELL_PARAMETERS angstrom
5.0585 -0.0769 -0.1155
-0.9449 7.2356 -0.0665
-0.9449 -2.8481 6.6518
ATOMIC_POSITIONS angstrom
Mg 0.0492 2.1771 0.4079
Pd -0.9449 4.0640 2.0466
Tl 2.5293 -0.0385 -0.0577
Mg 0.0492 -0.4620 2.1662
Mg 2.8133 1.6569 2.4869
Pd -0.9449 0.3235 4.5387
Mg 1.5844 -0.3578 4.9093
Mg 3.1196 4.7726 4.3036
Mg 0.3555 2.6536 3.9829
Mg 3.1196 2.1335 6.0619
Mg 1.5844 4.6683 1.5606
! - Size of the total moment: 0.0 μB/cell
! - Relative energy among the computed polymorphs: 31 meV/atom
! - Electronic total energy: -28.62 eV per cell
! - Calculated volume: 21.90 Å³/atom
! - Symmetry: No. 12



[4]
! Mg7TlPd2 | the Alexandria database | GGA-PBE | optimized geometry; values from VASP
&SYSTEM
  ibrav = 0, nat = 10, ntyp = 3
/
ATOMIC_SPECIES
Tl 204.38 Tl.upf
Mg 24.30 Mg.upf
Pd 106.42 Pd.upf
CELL_PARAMETERS angstrom
5.0334 0.0000 0.0000
0.0000 7.5315 0.1311
0.0000 -3.2048 6.8169
ATOMIC_POSITIONS angstrom
Tl 0.0000 0.0000 0.0000
Mg 2.5167 -0.5718 2.2124
Mg 2.5167 2.0889 6.4851
Mg 0.0000 -0.1316 4.9031
Mg 2.5167 4.8985 4.7356
Mg 2.5167 2.1633 3.4740
Pd 2.5167 -0.0163 4.8313
Pd 2.5167 4.3429 2.1167
Mg 0.0000 4.4582 2.0449
Mg 2.5167 2.2377 0.4629
! - Size of the total moment: 0.0 μB/cell
! - Electronic total energy: -25.61 eV per cell
! - Calculated volume: 26.05 Å³/atom
! - Symmetry: No. 65